# 1
## DyHoTlTe3 (GGA-PBE)

Data for crystalline DyHoTlTe3 at its relaxed geometry.

Properties
SG: No. 63
Total energy, eV/f.u.: -26.75

```
DyHoTlTe3
1.0
0.227 5.619 5.644
-0.593 -1.765 -7.747
-11.943 -0.565 1.042
Dy Ho Te Tl
2 2 6 2
Cartesian
0.000 0.000 0.000
-5.972 -0.282 0.521
-3.224 1.289 -1.691
-9.085 2.000 0.631
-0.619 0.856 -2.937
-3.527 -1.440 -6.640
-5.953 0.604 -2.472
-6.356 2.685 1.411
-8.782 4.729 5.580
-11.690 2.432 1.877
-2.966 3.613 2.523
-9.343 -0.324 -3.583
```


# 2
## Pa2SbPt2 (GGA-PBE)

Data for crystalline Pa2SbPt2 at its relaxed geometry.

Properties
SG: No. 127
Total energy, eV/f.u.: -39.70

```
Pa2SbPt2
1.0
-0.319 4.733 5.959
-2.037 -5.799 4.497
3.748 -0.718 0.771
Pa Pt Sb
4 4 2
Cartesian
1.417 0.189 3.113
0.943 1.658 6.787
0.448 -3.443 4.440
-0.026 -1.973 8.115
-0.466 2.228 4.340
-0.795 -1.529 2.439
-1.561 0.463 8.017
-1.890 -3.294 6.116
0.000 0.000 0.000
-1.178 -0.533 5.228
```


# 3
## PrPaNO (GGA-PBE)

Data for crystalline PrPaNO at its relaxed geometry.

Properties
SG: No. 29
Total energy, eV/f.u.: -33.41

```
PrPaNO
1.0
-4.395 3.974 3.553
-6.473 -4.947 -2.474
0.676 -2.957 4.144
N O Pa Pr
4 4 4 4
Cartesian
-2.541 0.950 1.426
-9.744 -0.889 1.290
-0.715 -1.873 2.296
-7.918 -3.712 2.159
-6.340 1.686 2.550
-5.904 -1.646 0.101
-4.560 -1.096 3.457
-4.124 -4.428 1.007
-1.136 -0.465 0.179
-8.162 -2.169 0.110
-2.299 -0.586 3.465
-9.325 -2.290 3.396
-4.907 0.230 1.283
-4.281 -2.957 -1.094
-6.182 0.210 4.659
-5.555 -2.978 2.282
```